*w*
NaV2Cl6, optimized geometry, DFT PBE; Fermi-level density of states = 9.90 states/eV per cell; magnetic moment = 5.00 μB/cell
1.0
-6.1307 1.2771 0.4081
-1.2392 -4.6840 -3.9586
0.1857 -1.0770 6.1605
Na Cl V
1 6 2
Cartesian
-1.0535 -5.7609 2.2018
-2.8426 -5.0147 0.1004
-2.1013 -1.7135 0.9067
-2.3300 -3.7172 3.7405
-4.3416 0.5309 2.5095
-5.0829 -2.7703 1.7032
-4.8541 -0.7666 -1.1306
-3.3546 -1.6407 2.9915
-3.8296 -2.8431 -0.3816

=====

*x*
NaV2Cl6, optimized geometry, DFT PBE; Fermi-level density of states = 10.25 states/eV per cell; magnetic moment = 10.00 μB/cell
1.0
-0.8154 -6.8500 -0.8778
5.9753 -2.8756 5.9772
-5.9598 -1.5182 6.4712
Cl V Na
12 4 2
Cartesian
-1.5239 -9.1631 7.2518
0.7240 -2.0806 4.3188
-2.8993 -2.1074 4.6412
0.4250 -5.9134 7.6269
-3.1139 -5.0720 7.6009
-0.9742 -4.6748 10.8711
2.3140 -6.1717 3.9697
-1.2249 -5.3304 3.9437
2.0994 -9.1363 6.9294
-1.1771 -2.9439 1.2112
0.1743 -6.5689 0.6995
0.3772 -8.2999 10.3594
-1.2163 -3.0546 3.4851
-1.1729 -4.5370 8.6070
0.3730 -6.7067 2.9636
0.4164 -8.1891 8.0855
-4.8708 -3.3777 6.1982
4.0709 -7.8660 5.3724

=====

Most stable structure - *w*; separation to the second - 175 meV/atom.

=====

*w*
Na2VCl6, optimized geometry, DFT PBE; Fermi-level density of states = 11.12 states/eV per cell; magnetic moment = 2.00 μB/cell
1.0
6.2650 0.0000 0.0000
0.0000 6.2650 0.0000
0.0000 0.0000 11.9064
Cl Na V
12 4 2
Cartesian
1.1528 5.1122 10.2299
1.1528 5.1122 1.6765
1.9797 1.9797 4.2767
4.6289 4.6289 0.0000
4.7686 1.4964 5.9532
4.2853 4.2853 7.6297
5.1122 1.1528 10.2299
4.2853 4.2853 4.2767
1.9797 1.9797 7.6297
1.4964 4.7686 5.9532
5.1122 1.1528 1.6765
1.6361 1.6361 0.0000
0.0000 0.0000 3.9557
0.0000 0.0000 7.9507
3.1325 3.1325 9.9089
3.1325 3.1325 1.9975
0.0000 0.0000 0.0000
3.1325 3.1325 5.9532

=====

*x*
Na2VCl6, optimized geometry, DFT PBE; Fermi-level density of states = 12.33 states/eV per cell; magnetic moment = 2.00 μB/cell
1.0
-2.8273 5.3618 2.7239
-5.1905 -0.3691 -4.6610
-4.6950 -6.0974 5.7111
Cl Na V
12 4 2
Cartesian
-5.2998 1.1738 -2.3596
-5.2840 1.8238 0.8552
-8.7479 0.8282 2.1389
-7.1491 -1.4821 -0.5253
-7.4288 -2.9286 2.9187
-7.4130 -2.2785 6.1335
-2.5472 0.6922 -0.5869
-10.1656 -1.7970 4.3609
-8.7426 2.6412 -0.5933
-3.9648 -1.9329 1.6350
-3.9702 -3.7459 4.3672
-5.5637 0.3773 4.2993
-9.6157 -1.8971 1.4197
-3.0971 0.7923 2.3542
-8.4303 0.3127 5.1599
-4.2824 -1.4175 -1.3860
-4.0089 2.4963 -0.9686
-2.3475 -3.0487 2.8555

=====

Most stable structure - *x*; separation to the second - 23 meV/atom.

=====

*w*
NaVCl5, optimized geometry, DFT PBE; Fermi-level density of states = 7.02 states/eV per cell; magnetic moment = 2.00 μB/cell
1.0
-0.5077 -6.0302 3.1284
2.4507 -5.0645 -3.8408
8.3724 -2.3674 3.2259
Na Cl V
2 10 2
Cartesian
7.3475 -7.2913 1.8354
2.9679 -6.1708 0.6782
1.8908 -6.1811 -1.8708
4.7908 -7.7846 2.7720
2.2604 -9.2090 0.4451
8.4454 -6.9329 -0.7512
5.5245 -5.6775 -0.2585
6.9856 -10.2168 0.7882
8.0550 -4.2531 2.0684
1.8699 -6.5291 3.2647
8.4246 -7.2810 4.3843
3.3298 -3.2453 1.7253
0.0000 0.0000 0.0000
4.1862 -1.1837 1.6130

=====

*x*
NaVCl5, optimized geometry, DFT PBE; Fermi-level density of states = 6.45 states/eV per cell; magnetic moment = 1.00 μB/cell
1.0
7.5884 0.0000 3.4550
3.3271 5.0775 2.7534
1.6395 -0.1058 6.4600
Cl Na V
5 1 1
Cartesian
8.1711 1.8709 7.7273
6.5598 0.0409 5.7140
5.2263 2.5696 8.6429
3.9834 1.8709 5.8206
6.6778 3.7154 5.4549
1.7679 0.2888 6.1779
6.1259 2.0203 6.6671

=====

Most stable structure - *x*; separation to the second - 13 meV/atom.

=====

*w*
NaV3Cl, optimized geometry, DFT PBE; Fermi-level density of states = 13.19 states/eV per cell; magnetic moment = 12.43 μB/cell
1.0
-4.0628 -2.8720 1.3130
-1.0472 -0.7933 -4.9752
2.9792 -4.1954 0.0419
Cl V Na
1 3 1
Cartesian
-1.0654 -3.9303 -1.8101
-0.5236 -0.3966 -2.4876
1.4896 -2.0977 0.0209
-2.0314 -1.4360 0.6565
0.0000 0.0000 0.0000

=====

*x*
NaV3Cl, optimized geometry, DFT PBE; Fermi-level density of states = 3.28 states/eV per cell; magnetic moment = 3.43 μB/cell
1.0
4.3953 0.0000 0.0000
0.0000 4.3953 0.0000
0.0000 0.0000 4.3953
Cl V Na
1 3 1
Cartesian
0.0000 0.0000 0.0000
2.1977 0.0000 0.0000
0.0000 2.1977 0.0000
0.0000 0.0000 2.1977
2.1977 2.1977 2.1977

=====

Most stable structure - *x*; separation to the second - 1218 meV/atom.

=====

*w*
NaWCl3, optimized geometry, DFT PBE; Fermi-level density of states = 1.90 states/eV per cell; magnetic moment = 3.04 μB/cell
1.0
-1.5513 1.2174 4.5810
4.2461 -1.7855 1.9124
2.1068 4.4949 -0.4811
W Na Cl
1 1 3
Cartesian
0.0000 0.0000 0.0000
2.4008 1.9634 3.0062
2.1230 -0.8927 0.9562
1.0534 2.2475 -0.2405
-0.7757 0.6087 2.2905

=====

*x*
NaWCl3, optimized geometry, DFT PBE; Fermi-level density of states = 6.73 states/eV per cell; magnetic moment = 4.00 μB/cell
1.0
4.9245 0.0000 0.0000
0.0000 4.9245 0.0000
0.0000 0.0000 4.9245
Na Cl W
1 3 1
Cartesian
0.0000 0.0000 0.0000
0.0000 2.4623 0.0000
2.4623 0.0000 0.0000
0.0000 0.0000 2.4623
2.4623 2.4623 2.4623

=====

Most stable structure - *w*; separation to the second - 882 meV/atom.

=====

*w*
NaWCl2, optimized geometry, DFT PBE; Fermi-level density of states = 1.41 states/eV per cell; magnetic moment = 0.00 μB/cell
1.0
1.8264 0.0000 10.7490
-0.9132 1.5817 10.7490
-0.9132 -1.5817 10.7490
W Na Cl
1 1 2
Cartesian
0.0000 0.0000 16.1235
0.0000 0.0000 0.0000
0.0000 0.0000 3.6387
0.0000 0.0000 28.6083

=====

*x*
NaWCl2, optimized geometry, DFT PBE; Fermi-level density of states = 2.99 states/eV per cell; magnetic moment = 0.00 μB/cell
1.0
-2.9141 7.4474 3.5100
-1.4627 6.1662 6.0095
0.2028 7.8172 3.8892
Cl W Na
2 1 1
Cartesian
-0.3856 1.9798 1.2387
-3.7884 19.4510 12.1701
0.0000 0.0000 0.0000
-2.0870 10.7154 6.7044

=====

Most stable structure - *x*; separation to the second - 246 meV/atom.

=====

*w*
NaWCl2, optimized geometry, DFT PBE; Fermi-level density of states = 2.23 states/eV per cell; magnetic moment = 0.99 μB/cell
1.0
0.0000 3.2207 3.2207
3.2207 0.0000 3.2207
3.2207 3.2207 0.0000
Cl W Na
2 1 1
Cartesian
4.8311 4.8311 4.8311
1.6104 1.6104 1.6104
3.2207 3.2207 3.2207
0.0000 0.0000 0.0000

=====

*x*
NaWCl2, optimized geometry, DFT PBE; Fermi-level density of states = 5.51 states/eV per cell; magnetic moment = 0.00 μB/cell
1.0
-2.8227 0.8974 -4.4154
-4.4685 -1.2257 2.6075
-4.3845 6.3521 0.8928
Cl W Na
4 2 2
Cartesian
-4.0455 0.8718 1.6080
-5.7118 4.7262 -0.1897
-3.6152 2.0581 -2.5176
-9.9789 4.3916 -0.7310
0.0000 0.0000 0.0000
-5.4264 3.5427 -2.2133
-3.6456 -0.1641 -0.9040
-6.2493 2.4812 1.2982

=====

Most stable structure - *x*; separation to the second - 239 meV/atom.

=====

*w*
NaWCl6, optimized geometry, DFT PBE; Fermi-level density of states = 6.30 states/eV per cell; magnetic moment = 1.00 μB/cell
1.0
-1.0415 -4.6097 4.5476
-0.4049 -6.3072 -1.7523
5.3878 -4.2237 1.6864
Cl Na W
6 1 1
Cartesian
3.4547 -9.9845 1.6289
0.6227 -7.8479 -0.3121
3.9526 -5.9148 0.9202
0.4867 -5.1561 2.8528
-0.0112 -9.2258 3.5615
3.3186 -7.2927 4.7938
1.9707 -7.5703 2.2408
0.0000 0.0000 0.0000

=====

*x*
NaWCl6, optimized geometry, DFT PBE; Fermi-level density of states = 8.28 states/eV per cell; magnetic moment = 2.01 μB/cell
1.0
7.2564 -0.8451 -0.0116
1.2088 7.2048 -0.0116
-0.2066 -0.1552 9.1917
Cl Na W
12 2 2
Cartesian
4.0251 0.1062 2.2575
3.7307 4.8691 0.6184
1.1024 1.2104 4.6612
6.6858 5.4051 9.1032
1.1195 3.7587 6.8534
4.5280 1.3353 8.5502
7.1392 2.4457 2.3151
5.6121 2.1498 5.2142
4.2336 6.0982 6.9110
2.6466 4.0547 3.9543
7.1563 4.9940 4.5073
1.5728 0.7993 0.0654
1.3962 6.6327 6.8822
6.8625 -0.4283 2.2863
0.5011 3.5248 4.5901
3.6282 -0.4226 -0.0058

=====

Most stable structure - *x*; separation to the second - 10 meV/atom.

=====

*w*
NaW2Cl, optimized geometry, DFT PBE; Fermi-level density of states = 5.14 states/eV per cell; magnetic moment = 0.00 μB/cell
1.0
-2.7517 2.2735 0.5489
-2.0730 -2.7633 1.0533
1.7542 1.6302 13.9209
Na Cl W
2 2 4
Cartesian
-1.3656 -0.6890 7.8876
-2.4123 -0.2449 0.8011
0.0000 0.0000 0.0000
-1.7049 1.8294 7.6355
-0.1976 0.3736 3.6871
-2.5438 0.0742 4.4750
-1.5052 -0.3094 11.5555
-1.8943 2.1426 11.3286

=====

*x*
NaW2Cl, optimized geometry, DFT PBE; Fermi-level density of states = 5.30 states/eV per cell; magnetic moment = 1.19 μB/cell
1.0
0.0000 3.2174 3.2174
3.2174 0.0000 3.2174
3.2174 3.2174 0.0000
W Na Cl
2 1 1
Cartesian
1.6087 1.6087 1.6087
4.8260 4.8260 4.8260
0.0000 0.0000 0.0000
3.2174 3.2174 3.2174

=====

Most stable structure - *w*; separation to the second - 1358 meV/atom.

=====

*w*
Na3YCl6, optimized geometry, DFT PBE; Fermi-level density of states = 0.00 states/eV per cell; magnetic moment = 0.00 μB/cell
1.0
-1.0445 -6.1827 3.7908
-0.8137 -3.5004 -5.9332
10.9131 1.5340 5.5088
Na Cl Y
6 12 2
Cartesian
4.5275 -4.0746 1.6832
-0.4068 -1.7502 -2.9666
7.3654 -1.8117 0.1199
1.6895 -6.3375 3.2465
7.5141 -3.3917 4.6650
1.5408 -4.7574 -1.2987
4.0783 -2.6418 -0.6054
6.9924 -4.9402 7.0169
0.5161 -2.0051 -0.3040
9.3931 -2.7139 2.6634
4.9767 -5.5073 3.9718
3.1880 -6.2854 0.5324
5.8670 -1.8637 2.8340
7.1466 -4.6472 0.4560
8.5389 -6.1440 3.6703
-0.3381 -5.4352 0.7029
2.0626 -3.2089 -3.6506
1.9084 -3.5019 2.9104
-0.5222 -3.0914 1.8954
5.4565 0.7670 2.7544

=====

*x*
Na3YCl6, optimized geometry, DFT PBE; Fermi-level density of states = 0.00 states/eV per cell; magnetic moment = 0.00 μB/cell
1.0
0.0000 5.3145 5.3145
5.3145 0.0000 5.3145
5.3145 5.3145 0.0000
Y Cl Na
1 6 3
Cartesian
0.0000 0.0000 0.0000
5.3145 5.3145 8.0091
2.6198 5.3145 5.3145
5.3145 8.0091 5.3145
5.3145 2.6198 5.3145
8.0091 5.3145 5.3145
5.3145 5.3145 2.6198
5.3145 5.3145 5.3145
2.6572 2.6572 2.6572
7.9717 7.9717 7.9717

=====

Most stable structure - *w*; separation to the second - 136 meV/atom.

=====

*w*
NaYCl4, optimized geometry, DFT PBE; Fermi-level density of states = 0.00 states/eV per cell; magnetic moment = 0.00 μB/cell
1.0
-4.8764 4.6928 -0.3964
-5.3644 -3.1984 2.7348
1.4700 2.6513 6.3921
Y Cl Na
2 8 2
Cartesian
-3.3843 1.2713 7.8832
-5.3865 2.8745 0.8474
-2.5902 3.3789 6.2944
-5.2762 0.9806 6.1311
-8.5846 3.1697 7.4630
-0.1862 0.9761 1.2675
-2.5286 -0.8045 2.9011
-6.2422 4.9503 5.8294
-6.1806 0.7669 2.4362
-3.4945 3.1652 2.5995
-7.3921 2.2977 4.9228
-1.3786 1.8482 3.8077

=====

*x*
NaYCl4, optimized geometry, DFT PBE; Fermi-level density of states = 0.00 states/eV per cell; magnetic moment = 0.00 μB/cell
1.0
-4.1156 -2.9279 -4.9174
5.5383 -0.1838 -3.5897
0.8455 -5.2521 7.0042
Cl Na Y
8 2 2
Cartesian
2.0262 -2.4998 -5.2878
4.6661 -2.8595 -1.2956
-2.3978 -5.5043 -0.2074
0.2421 -5.8640 3.7848
2.1733 -3.9762 0.9876
4.6184 -4.9276 3.6255
0.0950 -4.3877 -2.4906
-2.3501 -3.4363 -5.1285
0.3007 -6.5461 1.1197
1.9676 -1.8178 -2.6227
-2.5671 -4.4680 -2.7701
4.8353 -3.8958 1.2671

=====

Most stable structure - *w*; separation to the second - 10 meV/atom.